First-principles (GGA-PBE) data for a relaxed structure of PmAsPt3, as listed in Alexandria.

abc: 4.1080 4.1080 11.3288
angles: 90.00 90.00 90.00
Last column: nearest neighbours and their distance in Å.
Space group I4mm (No. 107)
Asymmetric unit:
1 Pm 0.0000 0.0000 0.0000 [2 per cell]  4 Pt 3.05, 4 As 3.24
2 As 0.0000 0.0000 0.3726 [2 per cell]  5 Pt 2.38-2.49
3 Pt 0.0000 0.0000 0.5828 [2 per cell]  1 As 2.38
4 Pt 0.0000 0.5000 0.2486 [4 per cell]  2 As 2.49, 2 Pt 2.78

## Properties
- Calculated total energy: -0.4672 Ry per atom
- Fermi-level density of states: 2.98 states/eV/f.u.



First-principles (GGA-PBE) data for a relaxed structure of TeRh2Au, as listed in Alexandria.

abc: 7.2597 7.2597 5.6227
angles: 90.00 90.00 90.00
Last column: nearest neighbours and their distance in Å.
Space group I-42d (No. 122)
Asymmetric unit:
1 Te 0.0000 0.0000 0.0000 [4 per cell]  4 Rh 2.54, 2 Au 2.81
2 Rh 0.2250 0.2500 0.1250 [8 per cell]  2 Te 2.54, 2 Au 2.79, 2 Rh 2.83
3 Au 0.0000 0.0000 0.5000 [4 per cell]  4 Rh 2.79, 2 Te 2.81

## Properties
- Calculated total energy: -0.3769 Ry per atom
- Fermi-level density of states: 3.46 states/eV/f.u.



First-principles (GGA-PBE) data for a relaxed structure of ThBPt3, as listed in Alexandria.

abc: 5.4918 5.6809 5.7530
angles: 90.00 105.09 90.00
Last column: nearest neighbours and their distance in Å.
Space group P2_1/m (No. 11)
Asymmetric unit:
1 Th 0.1803 0.2500 0.2258 [2 per cell]  7 Pt 2.90-3.22, 1 B 3.04
2 B 0.3709 0.7500 0.0578 [2 per cell]  5 Pt 2.10-2.22
3 Pt 0.1674 0.7500 0.3195 [2 per cell]  1 B 2.10
4 Pt 0.3227 0.0054 0.7628 [4 per cell]  2 B 2.20-2.22

## Properties
- Calculated total energy: -0.5386 Ry per atom
- Fermi-level density of states: 2.38 states/eV/f.u.



First-principles (GGA-PBE) data for a relaxed structure of InOsF3, as listed in Alexandria.

abc: 4.3871 4.3871 4.3871
angles: 90.00 90.00 90.00
Last column: nearest neighbours and their distance in Å.
Space group Pm-3m (No. 221)
Asymmetric unit:
1 In 0.0000 0.0000 0.0000 [1 per cell]  6 F 2.19
2 Os 0.5000 0.5000 0.5000 [1 per cell]  12 F 3.10
3 F 0.0000 0.0000 0.5000 [3 per cell]  2 In 2.19

## Properties
- Offset from the most stable computed form: 1.925 eV per formula unit
- Calculated total energy: -0.3152 Ry per atom
- Fermi-level density of states: 4.01 states/eV/f.u.



First-principles (GGA-PBE) data for a relaxed structure of BaTlCo2Br8, as listed in Alexandria.

abc: 7.0796 7.0796 29.7989
angles: 90.00 90.00 120.00
Last column: nearest neighbours and their distance in Å.
Space group R-3 (No. 148, hexagonal axes)
Asymmetric unit:
1 Ba 0.0000 0.0000 0.0000 [3 per cell]  6 Br 3.29
2 Tl 0.0000 0.0000 0.5000 [3 per cell]  12 Br 3.76-4.09
3 Co 0.0000 0.0000 0.2431 [6 per cell]  4 Br 2.31-2.37
4 Br 0.0000 0.0000 0.1655 [6 per cell]  1 Co 2.31
5 Br 0.0046 0.6241 0.0643 [18 per cell]  1 Co 2.37

## Properties
- Calculated total energy: -0.2562 Ry per atom
- Fermi-level density of states: 13.21 states/eV/f.u.



First-principles (GGA-PBE) data for a relaxed structure of ErAl2Ni, as listed in Alexandria.

abc: 3.0405 3.0405 7.2979
angles: 90.00 90.00 90.00
Last column: nearest neighbours and their distance in Å.
Space group P4/mmm (No. 123)
Asymmetric unit:
1 Er 0.0000 0.0000 0.0000 [1 per cell]  4 Er 3.04, 8 Al 3.13
2 Al 0.5000 0.5000 0.3116 [2 per cell]  4 Ni 2.55, 1 Al 2.75
3 Ni 0.0000 0.0000 0.5000 [1 per cell]  8 Al 2.55

## Properties
- Calculated total energy: -0.3611 Ry per atom
- Fermi-level density of states: 1.67 states/eV/f.u.



First-principles (GGA-PBE) data for a relaxed structure of CoGe, as listed in Alexandria.

abc: 4.8111 4.8111 4.8111
angles: 90.00 90.00 90.00
Last column: nearest neighbours and their distance in Å.
Space group Fm-3m (No. 225)
Asymmetric unit:
1 Co 0.0000 0.0000 0.0000 [4 per cell]  6 Ge 2.41
2 Ge 0.0000 0.0000 0.5000 [4 per cell]  6 Co 2.41

## Properties
- Calculated total energy: -0.4146 Ry per atom
- Fermi-level density of states: 1.68 states/eV/f.u.



First-principles (GGA-PBE) data for a relaxed structure of MgP4Cl10O6, as listed in Alexandria.

abc: 10.2014 11.5826 11.6397
angles: 107.67 96.85 115.17
Last column: nearest neighbours and their distance in Å.
Space group P-1 (No. 2)
Asymmetric unit:
1 Mg 0.2366 0.4983 0.4351 [2 per cell]  6 O 2.05-2.18
2 P 0.0133 0.6503 0.4167 [2 per cell]  2 O 1.49
3 P 0.0829 0.7804 0.8322 [2 per cell]  1 O 1.47
4 P 0.4100 0.2928 0.3555 [2 per cell]  2 O 1.49
5 P 0.4320 0.6657 0.2486 [2 per cell]  1 O 1.47
6 Cl 0.0403 0.3883 0.7725 [2 per cell]  1 P 2.06
7 Cl 0.0645 0.7641 0.9966 [2 per cell]  1 P 2.00
8 Cl 0.0915 0.9614 0.8523 [2 per cell]  1 P 2.00
9 Cl 0.0922 0.8596 0.4954 [2 per cell]  1 P 2.04
10 Cl 0.2881 0.0917 0.3377 [2 per cell]  1 P 2.05
11 Cl 0.2891 0.8097 0.8281 [2 per cell]  1 P 1.99
12 Cl 0.3572 0.3028 0.7074 [2 per cell]  1 P 1.99
13 Cl 0.3695 0.6018 0.0608 [2 per cell]  1 P 2.00
14 Cl 0.4039 0.2649 0.1711 [2 per cell]  1 P 2.06
15 Cl 0.4509 0.8543 0.3135 [2 per cell]  1 P 2.00
16 O 0.0380 0.3389 0.2774 [2 per cell]  1 P 1.47
17 O 0.1321 0.4212 0.5554 [2 per cell]  1 P 1.49
18 O 0.1427 0.6257 0.4476 [2 per cell]  1 P 1.49
19 O 0.3223 0.3646 0.3958 [2 per cell]  1 P 1.49
20 O 0.3268 0.5670 0.2928 [2 per cell]  1 P 1.47
21 O 0.4309 0.6535 0.5728 [2 per cell]  1 P 1.49

## Properties
- Calculated total energy: -0.3559 Ry per atom
- Fermi-level density of states: 0.00 states/eV/f.u.



First-principles (GGA-PBE) data for a relaxed structure of K2InSnI5, as listed in Alexandria.

abc: 4.7820 20.9678 16.7776
angles: 90.00 90.00 90.00
Last column: nearest neighbours and their distance in Å.
Space group Cmc2_1 (No. 36)
Asymmetric unit:
1 K 0.0000 0.0692 0.0000 [4 per cell]  6 I 3.48-3.68
2 K 0.0000 0.1228 0.6645 [4 per cell]  6 I 3.56-3.90
3 In 0.0000 0.4364 0.8071 [4 per cell]  5 I 3.37-3.58
4 Sn 0.0000 0.2473 0.3973 [4 per cell]  6 I 3.18-3.27
5 I 0.0000 0.1000 0.4415 [4 per cell]  1 Sn 3.18, 2 In 3.37
6 I 0.0000 0.2369 0.0267 [4 per cell]  2 Sn 3.25, 1 K 3.55
7 I 0.0000 0.2750 0.7675 [4 per cell]  2 Sn 3.27, 1 In 3.45, 1 K 3.63
8 I 0.0000 0.3957 0.3466 [4 per cell]  1 Sn 3.23, 1 In 3.58, 2 K 3.59
9 I 0.0000 0.4983 0.1217 [4 per cell]  1 In 3.40, 4 K 3.48-3.56

## Properties
- Calculated total energy: -0.2023 Ry per atom
- Fermi-level density of states: 0.00 states/eV/f.u.



First-principles (GGA-PBE) data for a relaxed structure of MnAs2BrCl, as listed in Alexandria.

abc: 4.7216 4.7216 6.3230
angles: 90.00 90.00 90.00
Last column: nearest neighbours and their distance in Å.
Space group P4/mmm (No. 123)
Asymmetric unit:
1 Mn 0.0000 0.0000 0.0000 [1 per cell]  4 Br 3.34
2 As 0.0000 0.5000 0.5000 [2 per cell]  2 Cl 2.36
3 Br 0.5000 0.5000 0.0000 [1 per cell]  2 Cl 3.16, 4 Mn 3.34
4 Cl 0.5000 0.5000 0.5000 [1 per cell]  4 As 2.36

## Properties
- Offset from the most stable computed form: 3.396 eV per formula unit
- Calculated total energy: -0.2538 Ry per atom
- Fermi-level density of states: 2.89 states/eV/f.u.



First-principles (GGA-PBE) data for a relaxed structure of KBa2Os, as listed in Alexandria.

abc: 8.0322 8.0322 8.0322
angles: 90.00 90.00 90.00
Last column: nearest neighbours and their distance in Å.
Space group F-43m (No. 216)
Asymmetric unit:
1 K 0.0000 0.0000 0.0000 [4 per cell]  4 Ba 3.48, 4 Os 3.48
2 Ba 0.0000 0.0000 0.5000 [4 per cell]  4 Ba 3.48, 4 Os 3.48
3 Ba 0.2500 0.2500 0.7500 [4 per cell]  4 Ba 3.48, 4 K 3.48
4 Os 0.2500 0.2500 0.2500 [4 per cell]  4 Ba 3.48, 4 K 3.48

## Properties
- Offset from the most stable computed form: 1.949 eV per formula unit
- Calculated total energy: -0.2213 Ry per atom
- Fermi-level density of states: 3.59 states/eV/f.u.



First-principles (GGA-PBE) data for a relaxed structure of Ce6TcRu, as listed in Alexandria.

abc: 6.3333 6.3341 7.4145
angles: 64.79 64.77 60.05
Last column: nearest neighbours and their distance in Å.
Space group P-1 (No. 2)
Asymmetric unit:
1 Ce 0.0530 0.2513 0.2483 [2 per cell]  1 Tc 2.74, 1 Ru 2.74
2 Ce 0.2487 0.0531 0.7513 [2 per cell]  1 Tc 2.74, 1 Ru 2.74
3 Ce 0.4464 0.5538 0.2484 [2 per cell]  1 Tc 2.74, 1 Ru 2.74
4 Tc 0.5000 0.0000 0.0000 [1 per cell]  6 Ce 2.74
5 Ru 0.0000 0.5000 0.5000 [1 per cell]  6 Ce 2.74

## Properties
- Offset from the most stable computed form: 0.000 eV per formula unit
- Calculated total energy: -0.5046 Ry per atom
- Fermi-level density of states: 24.31 states/eV/f.u.



First-principles (GGA-PBE) data for a relaxed structure of BaTaIr2, as listed in Alexandria.

abc: 7.5879 7.5879 7.0235
angles: 90.00 90.00 90.00
Last column: nearest neighbours and their distance in Å.
Space group I-42d (No. 122)
Asymmetric unit:
1 Ba 0.0000 0.0000 0.0000 [4 per cell]  8 Ir 3.23-3.51, 2 Ta 3.51
2 Ta 0.0000 0.0000 0.5000 [4 per cell]  4 Ir 2.48
3 Ir 0.1763 0.7500 0.6250 [8 per cell]  2 Ta 2.48

## Properties
- Offset from the most stable computed form: 2.077 eV per formula unit
- Calculated total energy: -0.5565 Ry per atom
- Fermi-level density of states: 3.40 states/eV/f.u.



First-principles (GGA-PBE) data for a relaxed structure of La2Ho3Cd2, as listed in Alexandria.

abc: 3.6258 32.5452 3.5779
angles: 90.00 90.00 90.00
Last column: nearest neighbours and their distance in Å.
Space group Cmmm (No. 65)
Asymmetric unit:
1 La 0.0000 0.2044 0.0000 [4 per cell]  4 Cd 3.42, 6 La 3.48-3.63
2 Ho 0.0000 0.0739 0.0000 [4 per cell]  4 Cd 3.22, 6 Ho 3.50-3.58
3 Ho 0.0000 0.5000 0.5000 [2 per cell]  12 Ho 3.50-3.63
4 Cd 0.0000 0.3656 0.5000 [4 per cell]  4 Ho 3.22, 4 La 3.42, 2 Cd 3.58

## Properties
- Calculated total energy: -0.2763 Ry per atom
- Fermi-level density of states: 8.09 states/eV/f.u.



First-principles (GGA-PBE) data for a relaxed structure of MgZnGe2O6, as listed in Alexandria.

abc: 9.8702 9.1940 5.2654
angles: 90.00 103.50 90.00
Last column: nearest neighbours and their distance in Å.
Space group C2/c (No. 15)
Asymmetric unit:
1 Mg 0.0000 0.0942 0.2500 [4 per cell]  6 O 2.08-2.18
2 Zn 0.0000 0.2625 0.7500 [4 per cell]  4 O 2.00-2.15
3 Ge 0.2007 0.4078 0.2759 [8 per cell]  4 O 1.74-1.82
4 O 0.1155 0.0864 0.6334 [8 per cell]  1 Ge 1.77
5 O 0.1166 0.2557 0.1159 [8 per cell]  1 Ge 1.74
6 O 0.1416 0.4343 0.5742 [8 per cell]  2 Ge 1.81-1.82

## Properties
- Calculated total energy: -0.4432 Ry per atom
- Fermi-level density of states: 0.00 states/eV/f.u.



First-principles (GGA-PBE) data for a relaxed structure of BaCe2F11, as listed in Alexandria.

abc: 8.7609 10.8120 12.4413
angles: 90.00 90.00 90.00
Last column: nearest neighbours and their distance in Å.
Space group Ibam (No. 72)
Asymmetric unit:
1 Ba 0.0000 0.0000 0.2500 [4 per cell]  8 F 2.67-2.71
2 Ce 0.1649 0.3062 0.0000 [8 per cell]  5 F 2.13-2.37
3 F 0.0000 0.5000 0.0000 [4 per cell]  2 F 2.22
4 F 0.1056 0.3130 0.5000 [8 per cell]  1 F 2.22, 2 Ce 2.37-2.39
5 F 0.1067 0.1811 0.1256 [16 per cell]  1 Ce 2.13
6 F 0.2254 0.0864 0.3791 [16 per cell]  1 Ce 2.13

## Properties
- Calculated total energy: -0.4360 Ry per atom